Compound: Ca3Zn8Au
Source: Alexandria
Functional: PBE-GGA
Structure: relaxed

Results
As for the calculated volume: 18.922 Å³ per atom. The formation energy is -252 meV per atom. The calculation puts the density of states at the Fermi level at 6.49 states/eV/f.u. The total magnetic moment comes out at 0.0 μB/f.u. The calculation puts the total energy at -1.875 eV/atom. The calculation puts the density at 6.15 g/cm³.

CIF file:
```
data_Ca3Zn8Au
_cell_length_a 9.550
_cell_length_b 9.550
_cell_length_c 9.550
_cell_angle_alpha 32.78
_cell_angle_beta 32.78
_cell_angle_gamma 32.78
_symmetry_space_group_name_H-M 'P 1'
_symmetry_Int_Tables_number 1
loop_
_symmetry_equiv_pos_as_xyz
'x,y,z'
loop_
_atom_site_label
_atom_site_fract_x
_atom_site_fract_y
_atom_site_fract_z
Ca1 0.000 0.000 0.000
Ca2 0.128 0.128 0.128
Ca3 0.616 0.616 0.616
Zn1 0.060 0.060 0.561
Zn2 0.060 0.561 0.060
Zn3 0.063 0.562 0.562
Zn4 0.309 0.309 0.309
Zn5 0.561 0.060 0.060
Zn6 0.562 0.063 0.562
Zn7 0.562 0.562 0.063
Zn8 0.812 0.812 0.812
Au1 0.500 0.500 0.500
```

---

Compound: TaBeTeI2
Source: Alexandria
Functional: PBE-GGA
Structure: relaxed

Results
As for the calculated volume: 25.734 Å³ per atom. Its formation energy without anion corrections is 951 meV per atom. The calculation puts the density of states at the Fermi level at 2.73 states/eV/f.u. The total magnetic moment comes out at 2.4 μB/f.u. The calculation puts the total energy at -3.414 eV/atom. The calculation puts the density at 7.37 g/cm³.

CIF file:
```
data_TaBeTeI2
_cell_length_a 5.007
_cell_length_b 5.007
_cell_length_c 5.133
_cell_angle_alpha 90.00
_cell_angle_beta 90.00
_cell_angle_gamma 90.00
_symmetry_space_group_name_H-M 'P 1'
_symmetry_Int_Tables_number 1
loop_
_symmetry_equiv_pos_as_xyz
'x,y,z'
loop_
_atom_site_label
_atom_site_fract_x
_atom_site_fract_y
_atom_site_fract_z
Ta1 0.000 0.000 0.000
Be1 0.500 0.500 0.500
Te1 0.500 0.500 0.000
I1 0.000 0.500 0.500
I2 0.500 0.000 0.500
```

---

Q: What is the calculated volume in the first record?
A: 18.922 Å³ per atom

---

Q: Which of these has the lowest calculated volume?
A: Ca3Zn8Au

---

Q: Which value of calculated volume does entry 2 give?
A: 25.734 Å³ per atom